Dy2Er2BI5, optimized geometry, DFT PBE; ρ = 6.74 g cm⁻³; E = -43.4 eV for the cell shown; volume = 32.17 Å³ per atom; SG = No. 12
1.0
9.4975 -2.0155 0.0000
9.4975 2.0155 0.0000
-1.8744 0.0000 8.4026
B Dy Er I
1 2 2 5
Cartesian
9.4975 0.0000 0.0000
11.9336 0.0000 0.5686
5.1869 0.0000 7.8341
18.6222 0.0000 1.6150
-1.5017 0.0000 6.7876
15.4206 0.0000 1.4842
2.4781 0.0000 2.8773
8.5603 0.0000 4.2013
14.6425 0.0000 5.5254
1.6999 0.0000 6.9184